Entry 1:
A plane-wave DFT calculation with PBE was carried out for an optimized crystal structure of Al2AgW.

Summary:
energy above the most stable polymorph in this dataset: 29.8 meV per atom
energy relative to the elements: 0.040 eV/atom
E_tot: -5.782 eV per atom

abc: 4.658 4.658 2.905
angles: 90.00 90.00 90.00
Space group P4/mmm (No. 123)
Symmetry-distinct sites (fractional):
Al  0.000  0.500  0.000
Ag  0.000  0.000  0.500
W  0.500  0.500  0.500

=====

Entry 2:
A plane-wave DFT calculation with PBE was carried out for an optimized crystal structure of DyU2Te4.

Summary:
raw formation energy: -0.750 eV per atom
E_tot: -6.428 eV per atom

abc: 4.143 14.090 15.451
angles: 90.00 90.00 90.00
Space group Cmcm (No. 63)
Symmetry-distinct sites (fractional):
Dy  0.000  0.108  0.250
U  0.000  0.355  0.063
Te  0.000  0.000  0.000
Te  0.000  0.290  0.631
Te  0.000  0.445  0.250

=====

Entry 3:
A plane-wave DFT calculation with PBE was carried out for an optimized crystal structure of LiNdHo2Se4.

Summary:
raw formation energy: -1.741 eV per atom
E_tot: -5.463 eV per atom

abc: 7.097 4.073 7.109
angles: 90.00 109.17 90.00
Space group P2/m (No. 10)
Symmetry-distinct sites (fractional):
Li  0.000  0.000  0.000
Nd  0.500  0.500  0.000
Ho  0.000  0.500  0.500
Ho  0.500  0.000  0.500
Se  0.237  0.000  0.744
Se  0.243  0.500  0.252

=====

Entry 4:
A plane-wave DFT calculation with PBE was carried out for an optimized crystal structure of NaDy2Tl.

Summary:
energy above the most stable polymorph in this dataset: 10.2 meV per atom
energy relative to the elements: -0.037 eV/atom
E_tot: -3.259 eV per atom

abc: 5.084 5.084 4.332
angles: 90.00 90.00 90.00
Space group P4/mmm (No. 123)
Symmetry-distinct sites (fractional):
Na  0.000  0.000  0.000
Dy  0.000  0.500  0.500
Tl  0.500  0.500  0.000

=====

Entry 5:
A plane-wave DFT calculation with PBE was carried out for an optimized crystal structure of Na2HgBi2.

Summary:
energy above the most stable polymorph in this dataset: 0.0 meV per atom
energy relative to the elements: -0.216 eV/atom
E_tot: -2.356 eV per atom

abc: 7.937 7.937 5.098
angles: 90.00 90.00 90.00
Space group P4/mbm (No. 127)
Symmetry-distinct sites (fractional):
Na  0.163  0.337  0.000
Hg  0.000  0.000  0.500
Bi  0.142  0.642  0.500

=====

Entry 6:
A plane-wave DFT calculation with PBE was carried out for an optimized crystal structure of AcAsN.

Summary:
energy above the most stable polymorph in this dataset: 147.6 meV per atom
raw formation energy: -0.577 eV per atom
E_tot: -6.271 eV per atom

abc: 3.815 3.815 10.150
angles: 90.00 90.00 90.00
Space group I4mm (No. 107)
Symmetry-distinct sites (fractional):
Ac  0.000  0.000  0.000
As  0.000  0.000  0.316
N  0.000  0.000  0.504

=====

Entry 7:
A plane-wave DFT calculation with PBE was carried out for an optimized crystal structure of PrGaC.

Summary:
energy above the most stable polymorph in this dataset: 416.2 meV per atom
energy relative to the elements: 0.010 eV/atom
E_tot: -5.666 eV per atom

abc: 3.905 3.905 17.051
angles: 90.00 90.00 90.00
Space group I4/mmm (No. 139)
Symmetry-distinct sites (fractional):
Pr  0.000  0.000  0.176
Ga  0.000  0.000  0.432
C  0.000  0.000  0.321

=====

Entry 8:
A plane-wave DFT calculation with PBE was carried out for an optimized crystal structure of KPt2O4.

Summary:
raw formation energy: -0.747 eV per atom
E_tot: -5.463 eV per atom

abc: 6.512 6.512 10.388
angles: 90.00 90.00 90.00
Space group I4_1/a (No. 88, origin choice 2)
Symmetry-distinct sites (fractional):
K  0.000  0.250  0.125
Pt  0.000  0.000  0.500
O  0.164  0.004  0.658

=====

Entry 9:
A plane-wave DFT calculation with PBE was carried out for an optimized crystal structure of PrDyEr2Th.

Summary:
energy relative to the elements: 0.316 eV/atom
E_tot: -4.869 eV per atom

abc: 3.535 5.637 8.681
angles: 90.00 90.00 90.00
Space group Pmmm (No. 47)
Symmetry-distinct sites (fractional):
Pr  0.000  0.000  0.000
Dy  0.500  0.000  0.500
Er  0.000  0.500  0.322
Th  0.500  0.500  0.000

=====

Entry 10:
A plane-wave DFT calculation with PBE was carried out for an optimized crystal structure of TaPCCl2.

Summary:
energy above the most stable polymorph in this dataset: 0.0 meV per atom
raw formation energy: 1.131 eV per atom
E_tot: -4.905 eV per atom

abc: 4.761 4.761 4.959
angles: 90.00 90.00 90.00
Space group P4/mmm (No. 123)
Symmetry-distinct sites (fractional):
Ta  0.000  0.000  0.000
P  0.000  0.000  0.500
C  0.500  0.500  0.500
Cl  0.000  0.500  0.000

=====

Entry 11:
A plane-wave DFT calculation with PBE was carried out for an optimized crystal structure of LiSmErSb.

Summary:
raw formation energy: -0.440 eV per atom
E_tot: -4.270 eV per atom

abc: 7.395 7.395 7.395
angles: 90.00 90.00 90.00
Space group F-43m (No. 216)
Symmetry-distinct sites (fractional):
Li  0.000  0.000  0.000
Sm  0.250  0.250  0.750
Er  0.250  0.250  0.250
Sb  0.000  0.000  0.500

=====

Entry 12:
A plane-wave DFT calculation with PBE was carried out for an optimized crystal structure of CaAgSnRu2.

Summary:
energy relative to the elements: 1.265 eV/atom
E_tot: -4.217 eV per atom

abc: 4.907 4.907 4.809
angles: 90.00 90.00 90.00
Space group P4/mmm (No. 123)
Symmetry-distinct sites (fractional):
Ca  0.000  0.000  0.000
Ag  0.000  0.000  0.500
Sn  0.500  0.500  0.000
Ru  0.000  0.500  0.500

=====

Entry 13:
A plane-wave DFT calculation with PBE was carried out for an optimized crystal structure of HfAgTeO5.

Summary:
raw formation energy: -1.636 eV per atom
E_tot: -6.728 eV per atom

abc: 7.969 8.561 8.145
angles: 90.00 117.87 90.00
Space group C2/c (No. 15)
Symmetry-distinct sites (fractional):
Hf  0.250  0.250  0.000
Ag  0.000  0.030  0.250
Te  0.000  0.431  0.250
O  0.000  0.244  0.750
O  0.091  0.274  0.147
O  0.246  0.497  0.976

=====

Entry 14:
A plane-wave DFT calculation with PBE was carried out for an optimized crystal structure of LiErGa4Cu2.

Summary:
energy relative to the elements: -0.318 eV/atom
E_tot: -3.665 eV per atom

abc: 4.2023 4.2023 25.6285
angles: 90.00 90.00 120.00
Space group R-3m (No. 166, hexagonal axes)
Symmetry-distinct sites (fractional):
Li  0.0000  0.0000  0.0000
Er  0.0000  0.0000  0.5000
Ga  0.0000  0.0000  0.1016
Ga  0.0000  0.0000  0.3746
Cu  0.0000  0.0000  0.2677

=====

Entry 15:
A plane-wave DFT calculation with PBE was carried out for an optimized crystal structure of OsBrCl2.

Summary:
energy above the most stable polymorph in this dataset: 407.1 meV per atom
raw formation energy: 0.317 eV per atom
E_tot: -3.832 eV per atom

abc: 3.044 4.631 13.873
angles: 90.00 90.00 90.00
Space group Imm2 (No. 44)
Symmetry-distinct sites (fractional):
Os  0.000  0.000  0.000
Br  0.000  0.500  0.648
Cl  0.000  0.000  0.500
Cl  0.000  0.500  0.364

=====

Entry 16:
A plane-wave DFT calculation with PBE was carried out for an optimized crystal structure of CuIr2Br.

Summary:
energy above the most stable polymorph in this dataset: 275.1 meV per atom
raw formation energy: 0.725 eV per atom
E_tot: -5.148 eV per atom

abc: 9.051 2.880 4.796
angles: 90.00 98.67 90.00
Space group C2/m (No. 12)
Symmetry-distinct sites (fractional):
Cu  0.000  0.000  0.000
Ir  0.233  0.500  0.230
Br  0.000  0.500  0.500

=====

Entry 17:
A plane-wave DFT calculation with PBE was carried out for an optimized crystal structure of BaAlIr2.

Summary:
energy above the most stable polymorph in this dataset: 369.2 meV per atom
energy relative to the elements: -0.014 eV/atom
E_tot: -5.861 eV per atom

abc: 9.382 3.073 6.519
angles: 90.00 103.96 90.00
Space group Cm (No. 8)
Symmetry-distinct sites (fractional):
Ba  0.000  0.000  0.000
Al  0.290  0.500  0.451
Ir  0.195  0.000  0.685
Ir  0.497  0.000  0.437

=====

Entry 18:
A plane-wave DFT calculation with PBE was carried out for an optimized crystal structure of HgTe3.

Summary:
raw formation energy: 0.134 eV per atom
E_tot: -2.298 eV per atom

abc: 4.066 4.332 7.095
angles: 90.00 90.00 90.00
Space group Pmm2 (No. 25)
Symmetry-distinct sites (fractional):
Hg  0.000  0.000  0.000
Te  0.000  0.500  0.492
Te  0.500  0.000  0.642
Te  0.500  0.500  0.146

=====

Entry 19:
A plane-wave DFT calculation with PBE was carried out for an optimized crystal structure of Tb5Mg.

Summary:
energy above the most stable polymorph in this dataset: 2.4 meV per atom
energy relative to the elements: 0.013 eV/atom
E_tot: -4.112 eV per atom

abc: 5.635 3.597 18.264
angles: 90.00 90.00 90.00
Space group Amm2 (No. 38)
Symmetry-distinct sites (fractional):
Tb  0.000  0.000  0.000
Tb  0.000  0.000  0.330
Tb  0.000  0.000  0.660
Tb  0.500  0.000  0.448
Tb  0.500  0.000  0.778
Mg  0.500  0.000  0.111

=====

Entry 20:
A plane-wave DFT calculation with PBE was carried out for an optimized crystal structure of MgGe2SbO8.

Summary:
raw formation energy: -1.416 eV per atom
E_tot: -5.967 eV per atom

abc: 6.610 6.610 6.348
angles: 90.00 90.00 90.00
Space group I-4m2 (No. 119)
Symmetry-distinct sites (fractional):
Mg  0.000  0.000  0.000
Ge  0.000  0.000  0.500
Ge  0.000  0.500  0.750
Sb  0.000  0.500  0.250
O  0.000  0.196  0.312
O  0.000  0.311  0.949

=====

Entry 21:
A plane-wave DFT calculation with PBE was carried out for an optimized crystal structure of Ti4Pt2N.

Summary:
energy above the most stable polymorph in this dataset: 0.0 meV per atom
raw formation energy: -1.132 eV per atom
E_tot: -8.559 eV per atom

abc: 11.730 11.730 11.730
angles: 90.00 90.00 90.00
Space group Fd-3m (No. 227, origin choice 2)
Symmetry-distinct sites (fractional):
Ti  0.000  0.000  0.000
Ti  0.055  0.375  0.875
Pt  0.033  0.033  0.217
N  0.000  0.000  0.500

=====

Entry 22:
A plane-wave DFT calculation with PBE was carried out for an optimized crystal structure of Dy2Co2B.

Summary:
energy relative to the elements: -0.212 eV/atom
E_tot: -6.231 eV per atom

abc: 9.822 5.148 6.509
angles: 90.00 99.63 90.00
Space group C2/c (No. 15)
Symmetry-distinct sites (fractional):
Dy  0.147  0.116  0.151
Co  0.114  0.397  0.513
B  0.000  0.422  0.750

=====

Entry 23:
A plane-wave DFT calculation with PBE was carried out for an optimized crystal structure of CdGa2Sn.

Summary:
energy above the most stable polymorph in this dataset: 34.7 meV per atom
energy relative to the elements: 0.080 eV/atom
E_tot: -2.662 eV per atom

abc: 7.135 7.135 7.135
angles: 90.00 90.00 90.00
Space group Fm-3m (No. 225)
Symmetry-distinct sites (fractional):
Cd  0.000  0.000  0.000
Ga  0.250  0.250  0.250
Sn  0.000  0.000  0.500

=====

Entry 24:
A plane-wave DFT calculation with PBE was carried out for an optimized crystal structure of ThScCo2.

Summary:
energy above the most stable polymorph in this dataset: 93.5 meV per atom
energy relative to the elements: -0.211 eV/atom
E_tot: -7.202 eV per atom

abc: 4.651 4.651 3.336
angles: 90.00 90.00 90.00
Space group P4/mmm (No. 123)
Symmetry-distinct sites (fractional):
Th  0.000  0.000  0.000
Sc  0.500  0.500  0.000
Co  0.000  0.500  0.500